! TmNbW (PBE-GGA, relaxed); values from VASP
! Magnetization ... 0.01 μB per atom
! Relative energy among the computed polymorphs ... 822.2 meV/atom
! Energy of formation from the pure elements ... 1748.2 meV per atom
&SYSTEM
  ibrav = 0, nat = 3, ntyp = 3
/
ATOMIC_SPECIES
Nb 92.91 Nb.upf
Tm 168.93 Tm.upf
W 183.84 W.upf
CELL_PARAMETERS angstrom
0.000 3.229 3.229
3.229 0.000 3.229
3.229 3.229 0.000
ATOMIC_POSITIONS angstrom
Nb 1.615 1.615 1.615
Tm 0.000 0.000 0.000
W 4.844 4.844 4.844

! TmNbW (PBE-GGA, relaxed); values from VASP
! Magnetization ... 0.00 μB per atom
! Relative energy among the computed polymorphs ... 0.0 meV/atom
! Energy of formation from the pure elements ... 926.0 meV per atom
&SYSTEM
  ibrav = 0, nat = 3, ntyp = 3
/
ATOMIC_SPECIES
Nb 92.91 Nb.upf
W 183.84 W.upf
Tm 168.93 Tm.upf
CELL_PARAMETERS angstrom
0.000 3.236 3.236
3.236 0.000 3.236
3.236 3.236 0.000
ATOMIC_POSITIONS angstrom
Nb 0.000 0.000 0.000
W 4.853 4.853 4.853
Tm 1.618 1.618 1.618

! YTmNb (PBE-GGA, relaxed); values from VASP
! Magnetization ... 0.74 μB per atom
! Relative energy among the computed polymorphs ... 0.0 meV/atom
! Energy of formation from the pure elements ... 806.9 meV per atom
&SYSTEM
  ibrav = 0, nat = 3, ntyp = 3
/
ATOMIC_SPECIES
Y 88.91 Y.upf
Tm 168.93 Tm.upf
Nb 92.91 Nb.upf
CELL_PARAMETERS angstrom
0.000 3.572 3.572
3.572 0.000 3.572
3.572 3.572 0.000
ATOMIC_POSITIONS angstrom
Y 5.357 5.357 5.357
Tm 1.786 1.786 1.786
Nb 0.000 0.000 0.000

! TmNbZn (PBE-GGA, relaxed); values from VASP
! Magnetization ... 0.03 μB per atom
! Relative energy among the computed polymorphs ... 0.0 meV/atom
! Energy of formation from the pure elements ... 454.4 meV per atom
&SYSTEM
  ibrav = 0, nat = 3, ntyp = 3
/
ATOMIC_SPECIES
Zn 65.41 Zn.upf
Tm 168.93 Tm.upf
Nb 92.91 Nb.upf
CELL_PARAMETERS angstrom
0.000 3.215 3.215
3.215 0.000 3.215
3.215 3.215 0.000
ATOMIC_POSITIONS angstrom
Zn 0.000 0.000 0.000
Tm 4.823 4.823 4.823
Nb 1.608 1.608 1.608

Question: Which of these has the highest energy of formation from the pure elements?
Answer: number 1

Question: Which value of magnetization does entry 1 give?
Answer: 0.01 μB per atom